(1)
# Na2Sn5Br12, relaxed, DFT PBE
# - Total DFT energy (no corrections): -59.580 eV per formula unit
# - DOS at the Fermi energy: 0.00 states/eV per cell
# - Relative energy among the computed polymorphs: 10.7 meV per atom
# - Formation energy from raw total energies: -0.887 eV per atom
# - Volume: 34.64 A^3/atom
data_Na2Sn5Br12
_symmetry_space_group_name_H-M 'C 1 2/m 1'
_symmetry_Int_Tables_number 12
_symmetry_space_group_name_Hall '-C 2y'
_cell_length_a 16.798
_cell_length_b 8.052
_cell_length_c 10.172
_cell_angle_alpha 90.00
_cell_angle_beta 106.90
_cell_angle_gamma 90.00
loop_
_atom_site_label
_atom_site_type_symbol
_atom_site_fract_x
_atom_site_fract_y
_atom_site_fract_z
_atom_site_occupancy
Na1 Na 0.000 0.229 0.000 1
Sn1 Sn 0.000 0.000 0.500 1
Sn2 Sn 0.172 0.500 0.772 1
Sn3 Sn 0.183 0.500 0.315 1
Br1 Br 0.004 0.500 0.208 1
Br2 Br 0.024 0.000 0.794 1
Br3 Br 0.139 0.261 0.554 1
Br4 Br 0.183 0.256 0.119 1

=====

(2)
# Eu2HgI, relaxed, DFT PBE
# - Total DFT energy (no corrections): -25.661 eV per formula unit
# - DOS at the Fermi energy: 58.79 states/eV per cell
# - Relative energy among the computed polymorphs: 0.0 meV per atom
# - Formation energy from raw total energies: -0.815 eV per atom
# - Volume: 35.97 A^3/atom
data_Eu2HgI
_symmetry_space_group_name_H-M 'R -3 m'
_symmetry_Int_Tables_number 166
_symmetry_space_group_name_Hall '-R 3 2"'
_cell_length_a 4.4021
_cell_length_b 4.4021
_cell_length_c 25.7230
_cell_angle_alpha 90.00
_cell_angle_beta 90.00
_cell_angle_gamma 120.00
loop_
_atom_site_label
_atom_site_type_symbol
_atom_site_fract_x
_atom_site_fract_y
_atom_site_fract_z
_atom_site_occupancy
Eu1 Eu 0.0000 0.0000 0.2426 1
Hg1 Hg 0.0000 0.0000 0.5000 1
I1 I 0.0000 0.0000 0.0000 1

=====

(3)
# ZrBeHg3, relaxed, DFT PBE
# - Total DFT energy (no corrections): -7.462 eV per formula unit
# - E_form: 5.7 eV/f.u.
# - DOS at the Fermi energy: 7.33 states/eV per cell
# - Relative energy among the computed polymorphs: 810.3 meV per atom
# - Volume: 36.07 A^3/atom
data_ZrBeHg3
_symmetry_space_group_name_H-M 'P m -3 m'
_symmetry_Int_Tables_number 221
_symmetry_space_group_name_Hall '-P 4 2 3'
_cell_length_a 5.650
_cell_length_b 5.650
_cell_length_c 5.650
_cell_angle_alpha 90.00
_cell_angle_beta 90.00
_cell_angle_gamma 90.00
loop_
_atom_site_label
_atom_site_type_symbol
_atom_site_fract_x
_atom_site_fract_y
_atom_site_fract_z
_atom_site_occupancy
Zr1 Zr 0.000 0.000 0.000 1
Be1 Be 0.500 0.500 0.500 1
Hg1 Hg 0.000 0.000 0.500 1

=====

(4)
# MgTe2Au, relaxed, DFT PBE
# - Total DFT energy (no corrections): -11.429 eV per formula unit
# - DOS at the Fermi energy: 5.09 states/eV per cell
# - Formation energy from raw total energies: -0.068 eV per atom
# - Volume: 29.81 A^3/atom
data_MgTe2Au
_symmetry_space_group_name_H-M 'C m m m'
_symmetry_Int_Tables_number 65
_symmetry_space_group_name_Hall '-C 2 2'
_cell_length_a 4.119
_cell_length_b 7.463
_cell_length_c 7.758
_cell_angle_alpha 90.00
_cell_angle_beta 90.00
_cell_angle_gamma 90.00
loop_
_atom_site_label
_atom_site_type_symbol
_atom_site_fract_x
_atom_site_fract_y
_atom_site_fract_z
_atom_site_occupancy
Mg1 Mg 0.000 0.000 0.000 1
Te1 Te 0.000 0.500 0.260 1
Au1 Au 0.000 0.000 0.500 1

=====

(5)
# LiTbTlIr, relaxed, DFT PBE
# - Total DFT energy (no corrections): -19.155 eV per formula unit
# - E_form: -1.4 eV/f.u.
# - DOS at the Fermi energy: 16.67 states/eV per cell
# - Volume: 19.69 A^3/atom
data_LiTbTlIr
_symmetry_space_group_name_H-M 'F -4 3 m'
_symmetry_Int_Tables_number 216
_symmetry_space_group_name_Hall 'F -4 2 3'
_cell_length_a 6.805
_cell_length_b 6.805
_cell_length_c 6.805
_cell_angle_alpha 90.00
_cell_angle_beta 90.00
_cell_angle_gamma 90.00
loop_
_atom_site_label
_atom_site_type_symbol
_atom_site_fract_x
_atom_site_fract_y
_atom_site_fract_z
_atom_site_occupancy
Li1 Li 0.000 0.000 0.000 1
Tb1 Tb 0.250 0.250 0.250 1
Tl1 Tl 0.250 0.250 0.750 1
Ir1 Ir 0.000 0.000 0.500 1

=====

(6)
# Ba2CaMg, relaxed, DFT PBE
# - Total DFT energy (no corrections): -6.581 eV per formula unit
# - E_form: 0.9 eV/f.u.
# - DOS at the Fermi energy: 23.69 states/eV per cell
# - Volume: 47.67 A^3/atom
data_Ba2CaMg
_symmetry_space_group_name_H-M 'I -4 2 d'
_symmetry_Int_Tables_number 122
_symmetry_space_group_name_Hall 'I -4 2bw'
_cell_length_a 10.117
_cell_length_b 10.117
_cell_length_c 7.452
_cell_angle_alpha 90.00
_cell_angle_beta 90.00
_cell_angle_gamma 90.00
loop_
_atom_site_label
_atom_site_type_symbol
_atom_site_fract_x
_atom_site_fract_y
_atom_site_fract_z
_atom_site_occupancy
Ba1 Ba 0.220 0.250 0.125 1
Ca1 Ca 0.000 0.000 0.500 1
Mg1 Mg 0.000 0.000 0.000 1

=====

(7)
# ZrScFeNi, relaxed, DFT PBE
# - Total DFT energy (no corrections): -30.338 eV per formula unit
# - E_form: -1.2 eV/f.u.
# - DOS at the Fermi energy: 2.90 states/eV per cell
# - Relative energy among the computed polymorphs: 0.0 meV per atom
# - Volume: 15.97 A^3/atom
data_ZrScFeNi
_symmetry_space_group_name_H-M 'P 4 m m'
_symmetry_Int_Tables_number 99
_symmetry_space_group_name_Hall 'P 4 -2'
_cell_length_a 3.157
_cell_length_b 3.157
_cell_length_c 6.411
_cell_angle_alpha 90.00
_cell_angle_beta 90.00
_cell_angle_gamma 90.00
loop_
_atom_site_label
_atom_site_type_symbol
_atom_site_fract_x
_atom_site_fract_y
_atom_site_fract_z
_atom_site_occupancy
Zr1 Zr 0.000 0.000 0.000 1
Sc1 Sc 0.000 0.000 0.513 1
Fe1 Fe 0.500 0.500 0.766 1
Ni1 Ni 0.500 0.500 0.257 1

=====

(8)
# LaSeCl2, relaxed, DFT PBE
# - Total DFT energy (no corrections): -17.124 eV per formula unit
# - DOS at the Fermi energy: 2.50 states/eV per cell
# - Relative energy among the computed polymorphs: 425.8 meV per atom
# - Formation energy from raw total energies: -1.255 eV per atom
# - Volume: 24.85 A^3/atom
data_LaSeCl2
_symmetry_space_group_name_H-M 'P 4/m m m'
_symmetry_Int_Tables_number 123
_symmetry_space_group_name_Hall '-P 4 2'
_cell_length_a 3.845
_cell_length_b 3.845
_cell_length_c 6.723
_cell_angle_alpha 90.00
_cell_angle_beta 90.00
_cell_angle_gamma 90.00
loop_
_atom_site_label
_atom_site_type_symbol
_atom_site_fract_x
_atom_site_fract_y
_atom_site_fract_z
_atom_site_occupancy
La1 La 0.000 0.000 0.000 1
Se1 Se 0.000 0.000 0.500 1
Cl1 Cl 0.500 0.500 0.215 1

=====

(9)
# Mg2RePt2, relaxed, DFT PBE
# - Total DFT energy (no corrections): -28.601 eV per formula unit
# - E_form: -0.9 eV/f.u.
# - DOS at the Fermi energy: 6.70 states/eV per cell
# - Volume: 17.79 A^3/atom
data_Mg2RePt2
_symmetry_space_group_name_H-M 'P 4/m b m'
_symmetry_Int_Tables_number 127
_symmetry_space_group_name_Hall '-P 4 2ab'
_cell_length_a 6.597
_cell_length_b 6.597
_cell_length_c 4.086
_cell_angle_alpha 90.00
_cell_angle_beta 90.00
_cell_angle_gamma 90.00
loop_
_atom_site_label
_atom_site_type_symbol
_atom_site_fract_x
_atom_site_fract_y
_atom_site_fract_z
_atom_site_occupancy
Mg1 Mg 0.171 0.329 0.000 1
Re1 Re 0.000 0.000 0.500 1
Pt1 Pt 0.139 0.639 0.500 1

=====

(10)
# RbAsPt, relaxed, DFT PBE
# - Total DFT energy (no corrections): -13.272 eV per formula unit
# - E_form: -1.6 eV/f.u.
# - DOS at the Fermi energy: 3.92 states/eV per cell
# - Relative energy among the computed polymorphs: 0.0 meV per atom
# - Volume: 29.08 A^3/atom
data_RbAsPt
_symmetry_space_group_name_H-M 'P 1 21/c 1'
_symmetry_Int_Tables_number 14
_symmetry_space_group_name_Hall '-P 2ybc'
_cell_length_a 7.110
_cell_length_b 7.006
_cell_length_c 7.833
_cell_angle_alpha 90.00
_cell_angle_beta 116.56
_cell_angle_gamma 90.00
loop_
_atom_site_label
_atom_site_type_symbol
_atom_site_fract_x
_atom_site_fract_y
_atom_site_fract_z
_atom_site_occupancy
Rb1 Rb 0.167 0.126 0.373 1
As1 As 0.314 0.644 0.582 1
Pt1 Pt 0.434 0.619 0.333 1

=====

(11)
# ScPt2Au, relaxed, DFT PBE
# - Total DFT energy (no corrections): -25.119 eV per formula unit
# - E_form: -3.4 eV/f.u.
# - DOS at the Fermi energy: 1.99 states/eV per cell
# - Volume: 16.91 A^3/atom
data_ScPt2Au
_symmetry_space_group_name_H-M 'I -4 m 2'
_symmetry_Int_Tables_number 119
_symmetry_space_group_name_Hall 'I -4 -2'
_cell_length_a 4.014
_cell_length_b 4.014
_cell_length_c 8.396
_cell_angle_alpha 90.00
_cell_angle_beta 90.00
_cell_angle_gamma 90.00
loop_
_atom_site_label
_atom_site_type_symbol
_atom_site_fract_x
_atom_site_fract_y
_atom_site_fract_z
_atom_site_occupancy
Sc1 Sc 0.000 0.000 0.000 1
Pt1 Pt 0.000 0.000 0.500 1
Pt2 Pt 0.000 0.500 0.750 1
Au1 Au 0.000 0.500 0.250 1

=====

(12)
# Tb3Er2Tl7, relaxed, DFT PBE
# - Total DFT energy (no corrections): -40.569 eV per formula unit
# - E_form: -1.0 eV/f.u.
# - DOS at the Fermi energy: 20.80 states/eV per cell
# - Volume: 30.28 A^3/atom
data_Tb3Er2Tl7
_symmetry_space_group_name_H-M 'C m m m'
_symmetry_Int_Tables_number 65
_symmetry_space_group_name_Hall '-C 2 2'
_cell_length_a 5.255
_cell_length_b 25.614
_cell_length_c 5.398
_cell_angle_alpha 90.00
_cell_angle_beta 90.00
_cell_angle_gamma 90.00
loop_
_atom_site_label
_atom_site_type_symbol
_atom_site_fract_x
_atom_site_fract_y
_atom_site_fract_z
_atom_site_occupancy
Tb1 Tb 0.000 0.000 0.000 1
Tb2 Tb 0.000 0.154 0.000 1
Er1 Er 0.000 0.348 0.500 1
Tl1 Tl 0.000 0.077 0.500 1
Tl2 Tl 0.000 0.221 0.500 1
Tl3 Tl 0.000 0.418 0.000 1
Tl4 Tl 0.000 0.500 0.500 1